# 1
The following is a DFT calculation (GGA-PBE) of a relaxed structure of VH2Ru2.

Cell and atoms, written as POSCAR:
```
VH2Ru2
1.0
-2.935 4.749 1.158
-2.789 -2.736 4.153
2.067 0.809 1.921
Ru V H
4 2 4
Direct
0.159 0.659 0.500 Ru
0.659 0.841 0.500 Ru
0.841 0.341 0.500 Ru
0.341 0.159 0.500 Ru
0.000 0.000 0.000 V
0.500 0.500 0.000 V
0.298 0.798 0.000 H
0.798 0.702 0.000 H
0.702 0.202 0.000 H
0.202 0.298 0.000 H
```

## Properties
**N(E_F)**: 7.40 states/eV/cell
**VASP energy**: -0.250 Ha/atom

=====

# 2
The following is a DFT calculation (GGA-PBE) of a relaxed structure of Ac6Sb5Pb.

Cell and atoms, written as POSCAR:
```
Ac6Sb5Pb
1.0
8.204 0.268 1.283
1.966 7.008 4.077
0.108 0.080 8.346
Pb Sb Ac
1 5 6
Direct
0.000 0.000 0.000 Pb
0.500 0.167 0.667 Sb
0.000 0.334 0.332 Sb
0.500 0.500 0.000 Sb
0.000 0.666 0.668 Sb
0.500 0.833 0.333 Sb
0.749 0.083 0.338 Ac
0.251 0.579 0.338 Ac
0.252 0.254 0.000 Ac
0.748 0.746 0.000 Ac
0.749 0.421 0.662 Ac
0.251 0.917 0.662 Ac
```

## Properties
**ΔE_f (raw)**: -1065 meV per atom
**N(E_F)**: 8.18 states/eV/cell
**VASP energy**: -0.189 Ha/atom